# 1
## HoBe17Fe (PBE)

Data for a relaxed HoBe17Fe crystal.

The space group is R3m (No. 160, hexagonal axes) and the conventional cell measures 7.4720, 7.4720 and 10.8917 Å, with angles of 90.00, 90.00 and 120.00 degrees. The distinct sites, in fractional coordinates, are Ho at (0.0000, 0.0000, 0.0000), Be at (0.0000, 0.0000, 0.2483), Be at (0.0000, 0.0000, 0.4423), Be at (0.0057, 0.5029, 0.8397), Be at (0.0083, 0.2977, 0.3413), Be at (0.0085, 0.5043, 0.4965), Be at (0.0173, 0.5086, 0.1899) and Fe at (0.0000, 0.0000, 0.6602).

The value obtained for the density of states at the Fermi level is 0.24 states/eV/atom. As for the formation energy: -0.05 eV per atom.

=====

# 2
## HoBeFe2Si2 (PBE)

Data for a relaxed HoBeFe2Si2 crystal.

The space group is P4/mmm (No. 123) and the conventional cell measures 3.969, 3.969 and 5.149 Å, with angles of 90.00, 90.00 and 90.00 degrees. The distinct sites, in fractional coordinates, are Ho at (0.000, 0.000, 0.000), Be at (0.000, 0.000, 0.500), Fe at (0.000, 0.500, 0.500) and Si at (0.500, 0.500, 0.243).

The value obtained for the density of states at the Fermi level is 0.50 states/eV/atom. Its energy relative to the elements, uncorrected is -0.44 eV/atom.

=====

# 3
## HoZrBeFe (PBE)

Data for a relaxed HoZrBeFe crystal.

The space group is F-43m (No. 216) and the conventional cell measures 6.520, 6.520 and 6.520 Å, with angles of 90.00, 90.00 and 90.00 degrees. The distinct sites, in fractional coordinates, are Ho at (0.000, 0.000, 0.000), Zr at (0.000, 0.000, 0.500), Be at (0.250, 0.250, 0.750) and Fe at (0.250, 0.250, 0.250).

The value obtained for the density of states at the Fermi level is 0.71 states/eV/atom. As for the formation energy: 0.04 eV per atom.

=====

# 4
## BeFeI2 (PBE)

Data for a relaxed BeFeI2 crystal.

The space group is I-42d (No. 122) and the conventional cell measures 5.820, 5.820 and 11.332 Å, with angles of 90.00, 90.00 and 90.00 degrees. The distinct sites, in fractional coordinates, are Be at (0.000, 0.000, 0.000), Fe at (0.000, 0.000, 0.500) and I at (0.237, 0.250, 0.125).

The value obtained for the density of states at the Fermi level is 0.29 states/eV/atom. Its energy relative to the elements, uncorrected is 0.50 eV/atom. As for the energy above the most stable polymorph in this dataset: 0.000 eV per atom.

=====

# 5
## Be2FeI (PBE)

Data for a relaxed Be2FeI crystal.

The space group is Fm-3m (No. 225) and the conventional cell measures 6.040, 6.040 and 6.040 Å, with angles of 90.00, 90.00 and 90.00 degrees. The distinct sites, in fractional coordinates, are Be at (0.250, 0.250, 0.250), Fe at (0.000, 0.000, 0.000) and I at (0.000, 0.000, 0.500).

The value obtained for the density of states at the Fermi level is 0.48 states/eV/atom. Its energy relative to the elements, uncorrected is 1.21 eV/atom. As for the energy above the most stable polymorph in this dataset: 0.161 eV per atom.

=====

# 6
## Be2FeI8 (PBE)

Data for a relaxed Be2FeI8 crystal.

The space group is C2/m (No. 12) and the conventional cell measures 14.263, 9.314 and 6.601 Å, with angles of 90.00, 94.69 and 90.00 degrees. The distinct sites, in fractional coordinates, are Be at (0.164, 0.000, 0.425), Fe at (0.000, 0.000, 0.000), I at (0.078, 0.197, 0.249), I at (0.166, 0.000, 0.790) and I at (0.174, 0.500, 0.617).

The value obtained for the density of states at the Fermi level is 0.50 states/eV/atom. Its energy relative to the elements, uncorrected is -0.27 eV/atom.

=====

# 7
## BeFeI2 (PBE)

Data for a relaxed BeFeI2 crystal.

The space group is Fm-3m (No. 225) and the conventional cell measures 7.059, 7.059 and 7.059 Å, with angles of 90.00, 90.00 and 90.00 degrees. The distinct sites, in fractional coordinates, are Be at (0.000, 0.000, 0.000), Fe at (0.000, 0.000, 0.500) and I at (0.250, 0.250, 0.250).

The value obtained for the density of states at the Fermi level is 0.44 states/eV/atom. Its energy relative to the elements, uncorrected is 0.93 eV/atom. As for the energy above the most stable polymorph in this dataset: 0.438 eV per atom.

=====

# 8
## Be2FeI6 (PBE)

Data for a relaxed Be2FeI6 crystal.

The space group is C2/c (No. 15) and the conventional cell measures 14.652, 15.123 and 6.834 Å, with angles of 90.00, 114.92 and 90.00 degrees. The distinct sites, in fractional coordinates, are Be at (0.234, 0.076, 0.360), Fe at (0.000, 0.274, 0.250), I at (0.098, 0.376, 0.586), I at (0.113, 0.181, 0.115) and I at (0.206, 0.068, 0.685).

The value obtained for the density of states at the Fermi level is 0.54 states/eV/atom. Its energy relative to the elements, uncorrected is -0.37 eV/atom.

=====

# 9
## BeFeI4 (PBE)

Data for a relaxed BeFeI4 crystal.

The space group is P-42c (No. 112) and the conventional cell measures 6.284, 6.284 and 11.133 Å, with angles of 90.00, 90.00 and 90.00 degrees. The distinct sites, in fractional coordinates, are Be at (0.000, 0.500, 0.250), Fe at (0.000, 0.000, 0.000) and I at (0.227, 0.274, 0.373).

The value obtained for the density of states at the Fermi level is 0.89 states/eV/atom. Its energy relative to the elements, uncorrected is -0.30 eV/atom.

=====

# 10
## Be2FeI (PBE)

Data for a relaxed Be2FeI crystal.

The space group is I-42d (No. 122) and the conventional cell measures 5.701, 5.701 and 9.657 Å, with angles of 90.00, 90.00 and 90.00 degrees. The distinct sites, in fractional coordinates, are Be at (0.209, 0.250, 0.125), Fe at (0.000, 0.000, 0.000) and I at (0.000, 0.000, 0.500).

The value obtained for the density of states at the Fermi level is 0.87 states/eV/atom. Its energy relative to the elements, uncorrected is 1.05 eV/atom. As for the energy above the most stable polymorph in this dataset: 0.000 eV per atom.

=====

# 11
## KBeFeI2 (PBE)

Data for a relaxed KBeFeI2 crystal.

The space group is P4/mmm (No. 123) and the conventional cell measures 5.675, 5.675 and 4.503 Å, with angles of 90.00, 90.00 and 90.00 degrees. The distinct sites, in fractional coordinates, are K at (0.000, 0.000, 0.000), Be at (0.500, 0.500, 0.500), Fe at (0.500, 0.500, 0.000) and I at (0.000, 0.500, 0.500).

The value obtained for the density of states at the Fermi level is 1.20 states/eV/atom. Its energy relative to the elements, uncorrected is 0.21 eV/atom.

=====

# 12
## La2BeFeI (PBE)

Data for a relaxed La2BeFeI crystal.

The space group is P4/mmm (No. 123) and the conventional cell measures 5.964, 5.964 and 4.606 Å, with angles of 90.00, 90.00 and 90.00 degrees. The distinct sites, in fractional coordinates, are La at (0.000, 0.500, 0.000), Be at (0.000, 0.000, 0.500), Fe at (0.500, 0.500, 0.500) and I at (0.500, 0.500, 0.000).

The value obtained for the density of states at the Fermi level is 1.51 states/eV/atom. Its energy relative to the elements, uncorrected is 0.77 eV/atom.